Cs3Pm3CoO8: relaxed, GGA+U.

Geometry as POSCAR:
```
Cs3Pm3CoO8
1.0
3.5114 2.0273 6.9420
-3.5114 2.0273 6.9420
0.0000 -4.0547 6.9420
Cs Pm Co O
3 3 1 8
Cartesian
-1.7557 -1.0137 6.9420 Cs
-1.7557 1.0137 13.8840 Cs
0.0000 2.0273 6.9420 Cs
-3.5114 0.0000 10.4130 Pm
-1.7557 1.0137 3.4710 Pm
1.7557 1.0137 3.4710 Pm
0.0000 0.0000 10.4130 Co
0.0000 0.0000 4.6277 O
-1.5346 -0.8860 11.4726 O
0.0000 -1.7720 9.3535 O
-1.5346 0.8860 9.3535 O
1.5346 -0.8860 11.4726 O
0.0000 1.7720 11.4726 O
1.5346 0.8860 9.3535 O
0.0000 0.0000 16.1983 O
```

Its uncorrected energy is -6.191 eV per atom. As for the crystal system: trigonal. The spin magnetization is 1.174 μB per formula unit.